# 1
First-principles (GGA-PBE) data for an optimized crystal structure of NaHgPd2Pb, as listed in the Alexandria database.

Structure (extended XYZ):
```
10
Lattice="-2.122 1.026 -3.714 4.072 -4.355 -3.529 -6.816 -3.224 3.003" Properties=species:S:1:pos:R:3 pbc="T T T"
Na -1.733 -0.549 -0.464
Na -3.132 -6.004 -3.776
Hg -5.926 -4.378 0.874
Hg 1.060 -2.175 -5.113
Pd -0.644 -4.335 -4.736
Pd -4.222 -2.218 0.497
Pd -1.474 -1.818 -3.567
Pd -3.392 -4.734 -0.672
Pb -0.894 -4.105 -1.925
Pb -3.972 -2.448 -2.314
```

- Calculated total energy: -3.3689 eV per atom
- Distance to the lowest polymorph of the same formula: 0 meV/atom
- V: 111 Å³/f.u.
- ΔH_f (0 K): -0.23 eV/atom

---

# 2
First-principles (GGA-PBE) data for an optimized crystal structure of HfTa2N, as listed in the Alexandria database.

Structure (extended XYZ):
```
8
Lattice="7.414 0.000 0.000 0.000 7.414 0.000 3.707 3.707 2.352" Properties=species:S:1:pos:R:3 pbc="T T T"
N 3.707 3.707 0.000
N 3.707 7.414 1.176
Hf 0.000 0.000 0.000
Hf 7.414 3.707 1.176
Ta 4.681 1.854 0.588
Ta 2.733 5.561 0.588
Ta 5.561 6.440 1.764
Ta 9.268 8.388 1.764
```

- Calculated total energy: -10.8198 eV per atom
- V: 65 Å³/f.u.

---

# 3
First-principles (GGA-PBE) data for an optimized crystal structure of AcNdSmAg, as listed in the Alexandria database.

Structure (extended XYZ):
```
4
Lattice="5.656 0.000 0.000 2.828 4.898 0.000 2.828 1.633 4.618" Properties=species:S:1:pos:R:3 pbc="T T T"
Ac 8.484 4.898 3.464
Nd 5.656 3.265 2.309
Ag 2.828 1.633 1.155
Sm 0.000 0.000 0.000
```

- Calculated total energy: -3.9581 eV per atom
- Distance to the lowest polymorph of the same formula: 255 meV/atom
- V: 128 Å³/f.u.
- ΔH_f (0 K): 0.15 eV/atom